*P*
Here is crystalline Mg2FeMo at its relaxed geometry from Alexandria via LeMat-Bulk. Energies are from PBE.

Cell and atoms, written as POSCAR:
```
Mg2FeMo
1.0
9.616 0.023 0.014
9.195 2.815 0.014
9.195 1.387 2.449
Fe Mg Mo
1 2 1
Direct
0.250 0.250 0.250 Fe
0.996 0.996 0.996 Mg
0.504 0.504 0.504 Mg
0.750 0.750 0.750 Mo
```

Computed properties:
Calculated volume ... 16.36 Å³/atom
N(E_F) ... 4.54 states/eV per cell
Symmetry ... R-3m, No. 166

***

*Q*
Here is crystalline Mg2FeMo at its relaxed geometry from Alexandria via LeMat-Bulk. Energies are from PBE.

Cell and atoms, written as POSCAR:
```
Mg2FeMo
1.0
-4.539 2.311 -1.004
-3.716 -0.245 3.616
5.038 1.230 -0.217
Fe Mg Mo
1 2 1
Direct
0.750 0.250 0.500 Fe
0.000 0.000 0.000 Mg
0.500 0.500 0.000 Mg
0.250 0.750 0.500 Mo
```

Computed properties:
Calculated volume ... 15.89 Å³/atom
N(E_F) ... 3.83 states/eV per cell
Symmetry ... I4/mmm, No. 139

***

*R*
Here is crystalline Mg2FeMo at its relaxed geometry from Alexandria via LeMat-Bulk. Energies are from PBE.

Cell and atoms, written as POSCAR:
```
Mg2FeMo
1.0
5.376 0.079 -0.013
-2.661 4.672 -0.013
0.378 0.662 2.554
Fe Mg Mo
1 2 1
Direct
0.000 0.500 0.500 Fe
0.000 0.000 0.000 Mg
0.500 0.500 0.000 Mg
0.500 0.000 0.500 Mo
```

Computed properties:
Calculated volume ... 16.19 Å³/atom
N(E_F) ... 3.26 states/eV per cell
Symmetry ... C2/m, No. 12

***

Relative energies, kJ/mol of atoms: *P* 4.3; *Q* 9.2; *R* 0.0.